! KGeI2N (GGA-PBE, relaxed); values from VASP
! - Total moment: 0.00 μB per cell
! - ΔE to the lowest computed polymorph: 0.000 eV per atom
! - Raw formation energy: -58 meV/atom
! - Calculated volume: 149.6 Å³ per cell
! - SG: P4/mmm
&SYSTEM
  ibrav = 0, nat = 5, ntyp = 4
/
ATOMIC_SPECIES
K 39.10 K.upf
Ge 72.64 Ge.upf
I 126.90 I.upf
N 14.01 N.upf
CELL_PARAMETERS angstrom
6.474 0.000 0.000
0.000 6.474 0.000
0.000 0.000 3.568
ATOMIC_POSITIONS crystal
K 0.000 0.000 0.000
Ge 0.500 0.500 0.500
I 0.000 0.500 0.500
I 0.500 0.000 0.500
N 0.500 0.500 0.000